ScBe2Pt2 SCAN single point on PBEsol structure; formation energy from the elements = -1.028 eV/atom; space-group type = P4/mbm, No. 127; polymorph energy (0 for the lowest one) = 0 meV per atom; total DFT energy (no corrections) = -336.9 eV for the cell shown
1.0
-2.484 0.670 -0.911
-2.170 -6.420 1.194
-1.849 1.811 6.376
Sc Be Pt
2 4 4
Direct
0.000 0.000 0.000
0.000 0.500 0.500
0.000 0.385 0.885
0.000 0.885 0.615
0.000 0.615 0.115
0.000 0.115 0.385
0.500 0.177 0.677
0.500 0.677 0.823
0.500 0.823 0.323
0.500 0.323 0.177